This record from Alexandria describes crystalline Tl2TeSe at its relaxed geometry. The functional is PBE.

space-group type	No. 6
polymorph energy (0 for the lowest one)	89	meV/atom
E	-2.967	eV/atom
uncorrected formation energy	-128	meV/atom
magnetization	0.00	μB/cell

Cell: 3.2054 6.3079 6.2950 Å, 90.00 90.33 90.00°
Fractional coordinates of all 4 atoms:
1 Tl 0.0000 0.0000 0.0000
2 Tl 0.4195 0.5000 0.4399
3 Te 0.9801 0.5000 0.9348
4 Se 0.5077 0.0000 0.4259